Entry 1:
Below is crystalline ZrInAu2 at its relaxed geometry, with properties calculated at the GGA-PBE level.

## Properties
Calculated total energy in eV per atom: -4.808

abc: 6.342 6.378 3.975
angles: 90.00 90.00 90.00
Space group Cmmm (No. 65)
One atom of each set of equivalent atoms:
Zr  0.000  0.000  0.000 x2
In  0.000  0.500  0.000 x2
Au  0.250  0.250  0.500 x4



Entry 2:
Below is crystalline ZrInAu2 at its relaxed geometry, with properties calculated at the GGA-PBE level.

## Properties
Calculated total energy in eV per atom: -4.808

abc: 4.506 4.506 3.966
angles: 90.00 90.00 90.00
Space group P4/mmm (No. 123)
One atom of each set of equivalent atoms:
Zr  0.000  0.000  0.000 x1
In  0.500  0.500  0.000 x1
Au  0.000  0.500  0.500 x2